A plane-wave DFT calculation with GGA-PBE was carried out for an optimized crystal structure of MgCuSb.

POSCAR file:
```
MgCuSb
1.0
7.464 0.000 0.000
0.000 7.424 0.000
0.000 0.000 4.476
Mg Cu Sb
4 4 4
Cartesian
0.000 0.000 0.000
0.000 3.712 0.000
3.732 0.000 2.238
3.732 3.712 2.238
1.295 1.856 2.233
2.437 5.568 4.471
5.027 1.856 0.005
6.169 5.568 2.243
1.245 5.568 2.233
2.486 1.856 4.471
4.977 5.568 0.005
6.218 1.856 2.242
```

Total magnetic moment (μB per formula unit): 0.0
Space group: No. 62
Uncorrected energy (eV per atom): -3.35
Formation energy (no corrections) (eV/atom): -0.080